This record from Alexandria describes crystalline KTeCl3 at its relaxed geometry. The functional is PBE.

Properties
Energy above the lowest structure with this stoichiometry in meV per atom: 0.0
Crystal system: triclinic
Total energy in eV/atom: -2.9876
Formation energy from raw total energies in kcal/mol of atoms: -23.8

Lattice parameters (Å, degrees): 4.7351 9.0213 16.3706 100.83 90.03 90.05
Last column: nearest neighbours and their distance in Å.
Space group P-1 (No. 2)
Unique sites:
1 K 0.0730 0.0317 0.3167 x2  6 Cl 3.15-3.31
2 K 0.4251 0.5323 0.8164 x2  6 Cl 3.15-3.31
3 Te 0.1554 0.0974 0.9507 x2  3 Cl 2.54-2.60
4 Te 0.3447 0.5973 0.4507 x2  3 Cl 2.54-2.60
5 Cl 0.0141 0.2531 0.8409 x2  1 Te 2.57
6 Cl 0.0640 0.3325 0.0593 x2  1 Te 2.54
7 Cl 0.1774 0.3942 0.3252 x2  1 Te 2.60
8 Cl 0.3224 0.8945 0.8253 x2  1 Te 2.60
9 Cl 0.4368 0.8325 0.5592 x2  1 Te 2.54
10 Cl 0.4861 0.7532 0.3409 x2  1 Te 2.57


This record from Alexandria describes crystalline LiSi2Br2 at its relaxed geometry. The functional is PBE.

Properties
Energy above the lowest structure with this stoichiometry in meV per atom: 323.9
Crystal system: tetragonal
Total energy in eV/atom: -3.1521
DOS at the Fermi energy in states/eV per atom: 0.304
Formation energy from raw total energies in kcal/mol of atoms: 1.6

Lattice parameters (Å, degrees): 6.6147 6.6147 5.3759 90.00 90.00 90.00
Last column: nearest neighbours and their distance in Å.
Space group P4/mbm (No. 127)
Unique sites:
1 Li 0.0000 0.0000 0.0000 x2  4 Br 2.42
2 Si 0.2191 0.2809 0.5000 x4  2 Br 2.71
3 Br 0.1815 0.3185 0.0000 x4  2 Li 2.42, 2 Si 2.71